This record from the Alexandria database describes a relaxed structure of TaAl2Mo. The functional is PBE-GGA.

Cell and atoms, written as extended XYZ:
```
4
Lattice="-0.285 0.628 4.431 -3.979 -0.264 2.050 -0.905 -3.463 2.702" Properties=species:S:1:pos:R:3 pbc="T T T"
Mo -2.585 -1.549 4.592
Al 0.000 0.000 0.000
Al -3.877 -2.324 6.887
Ta -1.292 -0.775 2.296
```

Calculated values
- space-group type = F-43m, No. 216
- distance to the lowest polymorph of the same formula (meV per atom) = 107
- calculated formation energy (eV/atom) = -0.12


This record from the Alexandria database describes a relaxed structure of TaAlTcMo. The functional is PBE-GGA.

Cell and atoms, written as extended XYZ:
```
4
Lattice="4.461 0.000 0.000 2.230 3.863 0.000 2.230 1.288 3.642" Properties=species:S:1:pos:R:3 pbc="T T T"
Al 4.461 2.576 1.821
Ta 0.000 0.000 0.000
Mo 2.230 1.288 0.911
Tc 6.691 3.863 2.732
```

Calculated values
- space-group type = F-43m, No. 216
- calculated formation energy (eV/atom) = -0.21


This record from the Alexandria database describes a relaxed structure of TaAlVMo. The functional is PBE-GGA.

Cell and atoms, written as extended XYZ:
```
4
Lattice="4.469 0.000 0.000 2.234 3.870 0.000 2.234 1.290 3.649" Properties=species:S:1:pos:R:3 pbc="T T T"
Ta 2.234 1.290 0.912
V 4.469 2.580 1.824
Al 6.703 3.870 2.737
Mo 0.000 0.000 0.000
```

Calculated values
- space-group type = F-43m, No. 216
- calculated formation energy (eV/atom) = -0.10


This record from the Alexandria database describes a relaxed structure of Tb6Al43Mo4. The functional is PBE-GGA.

Cell and atoms, written as extended XYZ:
```
106
Lattice="-5.265 -8.067 -5.367 1.819 -0.863 10.841 -15.486 7.957 3.232" Properties=species:S:1:pos:R:3 pbc="T T T"
Al -15.371 -1.265 2.232
Al -14.251 1.394 1.055
Al -12.596 -0.685 2.059
Al -14.544 5.760 2.008
Al -16.605 -0.468 7.465
Al -2.327 -0.505 1.242
Al -7.670 1.340 8.463
Tb -16.487 3.408 0.402
Al -10.788 -2.538 3.069
Mo -13.036 3.789 0.975
Al -4.853 -4.664 0.443
Mo -7.743 3.978 1.616
Al -0.401 -2.414 4.022
Al -14.605 1.033 8.578
Al -6.546 -5.691 -1.433
Al -13.615 -2.033 4.201
Al -6.861 3.579 9.810
Mo -7.715 -3.899 -3.109
Al 0.073 -2.639 6.847
Al -11.944 -0.334 8.022
Mo 0.000 0.000 0.000
Al -4.434 2.338 10.363
Al -2.147 -4.189 0.027
Al -4.647 0.801 0.018
Al -7.548 -5.282 1.092
Al -3.049 -6.423 4.187
Al -14.079 3.691 8.264
Al -11.262 -2.313 0.244
Al -16.681 0.350 0.312
Tb -8.362 4.330 7.019
Al -9.890 -0.211 1.643
Al -10.235 1.716 7.462
Al -8.144 1.565 5.638
Al -9.207 -4.324 -0.877
Tb -15.838 2.467 5.826
Al -8.697 -2.689 1.245
Al -13.470 4.410 5.704
Al -9.042 -0.762 7.064
Al -2.492 -2.263 5.846
Tb -9.060 -1.054 -1.536
Al -0.015 0.026 2.846
Al -16.104 -0.911 -2.152
Al -16.276 -0.665 4.756
Al -16.440 1.290 2.861
Al -6.207 -5.870 -4.142
Al -9.233 4.755 3.711
Mo -4.802 -0.422 2.286
Al -11.927 1.905 2.590
Tb -4.264 -3.518 -2.537
Al -15.883 5.450 4.520
Al -12.150 -1.799 -2.291
Al -14.020 -1.017 -0.243
Al -11.384 4.309 7.615
Al -4.999 -1.751 4.614
Al -6.336 -0.288 6.648
Al -3.045 -6.516 1.453
Al -13.418 6.906 4.584
Al -6.987 -0.639 0.685
Al -9.092 1.961 3.103
Al -0.249 0.188 9.489
Al -5.317 1.060 4.506
Al -7.004 -2.878 6.117
Tb -5.305 2.764 7.054
Al -3.604 1.862 2.405
Al -2.250 -1.323 8.395
Al -6.810 -5.626 5.477
Al -12.193 1.966 9.504
Al -3.519 -6.291 -1.372
Al -4.911 0.044 8.950
Al -3.561 0.292 6.475
Tb -7.889 -0.976 3.882
Al -6.806 3.515 4.264
Al -4.343 -4.246 5.561
Al -1.299 -4.741 5.448
Al -8.601 1.690 0.157
Al -18.940 1.689 -0.874
Al -10.063 5.232 11.669
Al -2.656 -0.308 3.951
Tb -11.691 0.944 -0.599
Al -1.810 -1.799 -1.260
Al -13.933 0.778 4.093
Al -9.725 3.351 9.584
Al -9.839 -2.934 5.604
Tb -0.510 0.300 6.054
Mo -14.130 -0.551 6.420
Al -4.681 -2.367 7.652
Al -6.512 1.645 2.115
Tb -13.157 6.794 8.020
Al -5.461 -5.383 3.003
Tb -3.093 -3.440 2.881
Al -6.739 -2.939 -0.797
Al -10.359 3.610 1.134
Al -12.386 4.718 10.140
Tb -11.043 0.003 4.825
Al -4.326 -2.006 0.129
Mo -2.544 1.359 8.722
Mo -11.123 5.735 5.352
Al -10.392 -3.720 -3.269
Al -12.420 -2.618 6.592
Al -6.038 -2.808 2.237
Al -10.809 3.042 5.149
Al -12.894 1.835 6.470
Al -8.123 -4.015 3.558
Al -12.122 4.653 3.230
Al -14.589 3.272 3.146
Al -13.651 7.068 11.227
```

Calculated values
- space-group type = P6_3/mcm, No. 193
- calculated formation energy (eV/atom) = -0.33


This record from the Alexandria database describes a relaxed structure of TbAl4Mo. The functional is PBE-GGA.

Cell and atoms, written as extended XYZ:
```
6
Lattice="-3.840 0.658 -3.572 -5.061 -0.498 1.438 -3.116 4.264 0.224" Properties=species:S:1:pos:R:3 pbc="T T T"
Tb -3.004 1.106 -0.477
Mo 0.000 0.000 0.000
Al -5.590 2.436 0.594
Al -4.979 3.014 -1.913
Al -5.953 0.632 -1.306
Al -7.512 2.765 -1.194
```

Calculated values
- space-group type = F-43m, No. 216
- calculated formation energy (eV/atom) = -0.24


This record from the Alexandria database describes a relaxed structure of TbAlMo. The functional is PBE-GGA.

Cell and atoms, written as extended XYZ:
```
12
Lattice="-1.421 -5.039 0.969 3.275 -4.116 -1.972 4.490 -2.381 8.831" Properties=species:S:1:pos:R:3 pbc="T T T"
Tb 4.065 -7.528 3.387
Mo 4.134 -6.993 6.270
Tb 1.568 -6.528 4.926
Al 2.787 -4.927 7.723
Mo -0.104 -5.004 3.083
Tb 2.027 -3.616 -1.203
Al 2.535 -4.535 2.079
Tb -0.173 -5.539 0.200
Mo 1.499 -7.063 2.042
Mo 3.173 -2.416 6.717
Al 0.282 -2.493 2.077
Al 4.520 -4.482 5.265
```

Calculated values
- space-group type = Fddd, No. 70
- calculated formation energy (eV/atom) = 0.18


This record from the Alexandria database describes a relaxed structure of TbAl2Mo. The functional is PBE-GGA.

Cell and atoms, written as extended XYZ:
```
4
Lattice="-0.287 -2.877 -0.886 1.755 -1.083 -2.211 7.112 -4.008 5.543" Properties=species:S:1:pos:R:3 pbc="T T T"
Mo 0.000 0.000 0.000
Al 6.648 -6.063 2.046
Al 1.932 -1.906 0.400
Tb 4.290 -3.984 1.223
```

Calculated values
- space-group type = R-3m, No. 166
- calculated formation energy (eV/atom) = 0.08


This record from the Alexandria database describes a relaxed structure of AlTc2Mo. The functional is PBE-GGA.

Cell and atoms, written as extended XYZ:
```
4
Lattice="-4.430 0.499 -3.731 0.237 -0.481 5.789 4.242 2.179 3.324" Properties=species:S:1:pos:R:3 pbc="T T T"
Mo 2.240 0.849 4.557
Al 0.000 0.000 0.000
Tc 1.178 0.447 2.397
Tc 3.301 1.252 6.716
```

Calculated values
- space-group type = Immm, No. 71
- calculated formation energy (eV/atom) = 0.60